No. 1
This record from Alexandria via LeMat-Bulk describes a relaxed LaAlAsF2 crystal. The functional is PBEsol.

Cell lengths 4.432, 4.432, 6.277 Å; angles 90.00, 90.00, 90.00 degrees
Sites, in units of the cell vectors:
As 0.000 0.000 0.500
F 0.000 0.500 0.000
F 0.500 0.000 0.000
Al 0.500 0.500 0.500
La 0.000 0.000 0.000

Results
Uncorrected energy (eV per atom): -5.64
V (Å³/cell): 123
Magnetic moment (μB per atom): 0.00

No. 2
This record from Alexandria via LeMat-Bulk describes a relaxed NaAlAsO4F crystal. The functional is PBEsol.

Cell lengths 5.400, 5.400, 7.044 Å; angles 105.34, 105.34, 104.62 degrees
Sites, in units of the cell vectors:
Na 0.670 0.330 0.750
Na 0.330 0.670 0.250
Al 0.000 0.000 0.000
Al 0.000 0.000 0.500
As 0.687 0.313 0.250
As 0.313 0.687 0.750
O 0.694 0.096 0.389
O 0.904 0.306 0.111
O 0.306 0.904 0.611
O 0.096 0.694 0.889
O 0.236 0.364 0.582
O 0.764 0.636 0.418
O 0.636 0.764 0.918
O 0.364 0.236 0.082
F 0.934 0.066 0.750
F 0.066 0.934 0.250

Results
Uncorrected energy (eV per atom): -6.42
V (Å³/cell): 179
Magnetic moment (μB per atom): 0.00

No. 3
This record from Alexandria via LeMat-Bulk describes a relaxed Al2FeAs crystal. The functional is PBEsol.

Cell lengths 2.721, 4.038, 6.043 Å; angles 109.52, 103.01, 90.00 degrees
Sites, in units of the cell vectors:
As 0.571 0.571 0.141
Fe 0.247 0.747 0.493
Al 0.932 0.932 0.864
Al 0.751 0.251 0.502

Results
Uncorrected energy (eV per atom): -5.73
DFT formation energy (kJ per mole of atoms): -16.0
V (Å³/cell): 61
Magnetic moment (μB per atom): 0.00

No. 4
This record from Alexandria via LeMat-Bulk describes a relaxed Al2FeAs crystal. The functional is PBEsol.

Cell lengths 3.234, 3.234, 5.258 Å; angles 90.00, 90.00, 90.00 degrees
Sites, in units of the cell vectors:
As 0.500 0.500 0.000
Fe 0.500 0.500 0.500
Al 0.000 0.000 0.736
Al 0.000 0.000 0.264

Results
Uncorrected energy (eV per atom): -5.65
DFT formation energy (kJ per mole of atoms): -8.4
V (Å³/cell): 55
Magnetic moment (μB per atom): 0.28

No. 5
This record from Alexandria via LeMat-Bulk describes a relaxed Al2FeAs crystal. The functional is PBEsol.

Cell lengths 2.960, 2.960, 7.945 Å; angles 79.26, 79.26, 60.00 degrees
Sites, in units of the cell vectors:
As 0.512 0.512 0.465
Fe 0.246 0.246 0.262
Al 0.991 0.991 0.028
Al 0.752 0.752 0.745

Results
Uncorrected energy (eV per atom): -5.58
DFT formation energy (kJ per mole of atoms): -1.4
V (Å³/cell): 59
Magnetic moment (μB per atom): 0.19

No. 6
This record from Alexandria via LeMat-Bulk describes a relaxed La6Al4Fe9As crystal. The functional is PBEsol.

Cell lengths 8.029, 8.029, 12.741 Å; angles 108.37, 108.37, 90.00 degrees
Sites, in units of the cell vectors:
La 0.894 0.894 0.788
La 0.106 0.106 0.212
La 0.606 0.606 0.212
La 0.394 0.394 0.788
La 0.135 0.635 0.620
La 0.865 0.365 0.380
La 0.485 0.985 0.620
La 0.635 0.485 0.620
La 0.015 0.865 0.380
La 0.515 0.015 0.380
La 0.365 0.515 0.380
La 0.985 0.135 0.620
Al 0.788 0.288 0.813
Al 0.212 0.712 0.187
Al 0.026 0.526 0.813
Al 0.288 0.026 0.813
Al 0.474 0.212 0.187
Al 0.974 0.474 0.187
Al 0.712 0.974 0.187
Al 0.526 0.788 0.813
Fe 0.788 0.932 0.000
Fe 0.212 0.068 0.000
Fe 0.932 0.212 0.000
Fe 0.288 0.568 0.000
Fe 0.068 0.788 0.000
Fe 0.712 0.432 0.000
Fe 0.432 0.288 0.000
Fe 0.568 0.712 0.000
Fe 0.500 0.000 0.000
Fe 0.000 0.500 0.000
Fe 0.270 0.770 0.893
Fe 0.730 0.230 0.107
Fe 0.622 0.122 0.893
Fe 0.770 0.622 0.893
Fe 0.878 0.730 0.107
Fe 0.378 0.878 0.107
Fe 0.230 0.378 0.107
Fe 0.122 0.270 0.893
As 0.750 0.750 0.500
As 0.250 0.250 0.500

Results
Uncorrected energy (eV per atom): -7.03
DFT formation energy (kJ per mole of atoms): -31.0
V (Å³/cell): 735
Magnetic moment (μB per atom): 0.50

No. 7
This record from Alexandria via LeMat-Bulk describes a relaxed Al3GaAs crystal. The functional is PBEsol.

Cell lengths 4.835, 4.835, 4.835 Å; angles 90.00, 90.00, 90.00 degrees
Sites, in units of the cell vectors:
As 0.000 0.000 0.000
Al 0.000 0.500 0.000
Al 0.000 0.000 0.500
Al 0.500 0.000 0.000
Ga 0.500 0.500 0.500

Results
Uncorrected energy (eV per atom): -3.53
DFT formation energy (kJ per mole of atoms): 59.7
V (Å³/cell): 113
Magnetic moment (μB per atom): 0.00

No. 8
This record from Alexandria via LeMat-Bulk describes a relaxed AlGaAs2 crystal. The functional is PBEsol.

Cell lengths 5.669, 5.669, 6.946 Å; angles 114.08, 114.08, 90.00 degrees
Sites, in units of the cell vectors:
As 0.374 0.875 0.250
As 0.876 0.375 0.250
As 0.125 0.124 0.750
As 0.625 0.626 0.750
Al 0.750 0.250 0.500
Al 0.500 0.500 0.000
Ga 0.250 0.750 0.500
Ga 0.000 0.000 0.000

Results
Uncorrected energy (eV per atom): -4.78
DFT formation energy (kJ per mole of atoms): -36.1
V (Å³/cell): 182
Magnetic moment (μB per atom): 0.00

No. 9
This record from Alexandria via LeMat-Bulk describes a relaxed AlGaAs2 crystal. The functional is PBEsol.

Cell lengths 4.010, 4.010, 6.945 Å; angles 73.22, 73.22, 60.00 degrees
Sites, in units of the cell vectors:
As 0.125 0.125 0.625
As 0.625 0.625 0.125
Al 0.000 0.000 0.001
Ga 0.500 0.500 0.500

Results
Uncorrected energy (eV per atom): -4.79
DFT formation energy (kJ per mole of atoms): -36.2
V (Å³/cell): 91
Magnetic moment (μB per atom): 0.00

No. 10
This record from Alexandria via LeMat-Bulk describes a relaxed Al2GeAs crystal. The functional is PBEsol.

Cell lengths 4.601, 4.601, 4.601 Å; angles 60.00, 60.00, 60.00 degrees
Sites, in units of the cell vectors:
As 0.500 0.500 0.500
Ge 0.000 0.000 0.000
Al 0.250 0.250 0.250
Al 0.750 0.750 0.750

Results
Uncorrected energy (eV per atom): -4.42
DFT formation energy (kJ per mole of atoms): 13.2
V (Å³/cell): 69
Magnetic moment (μB per atom): 0.00

No. 11
This record from Alexandria via LeMat-Bulk describes a relaxed AlGe2AsI crystal. The functional is PBEsol.

Cell lengths 4.861, 4.861, 5.269 Å; angles 90.00, 90.00, 90.00 degrees
Sites, in units of the cell vectors:
I 0.000 0.000 0.500
As 0.500 0.500 0.500
Ge 0.000 0.500 0.000
Ge 0.500 0.000 0.000
Al 0.000 0.000 0.000

Results
Uncorrected energy (eV per atom): -3.45
V (Å³/cell): 125
Magnetic moment (μB per atom): 0.00

No. 12
This record from Alexandria via LeMat-Bulk describes a relaxed AlSiGe2As crystal. The functional is PBEsol.

Cell lengths 4.698, 4.733, 4.733 Å; angles 90.00, 90.00, 90.00 degrees
Sites, in units of the cell vectors:
As 0.500 0.500 0.500
Si 0.000 0.000 0.000
Ge 0.000 0.000 0.500
Ge 0.000 0.500 0.000
Al 0.500 0.000 0.000

Results
Uncorrected energy (eV per atom): -4.37
V (Å³/cell): 105
Magnetic moment (μB per atom): 0.00

No. 13
This record from Alexandria via LeMat-Bulk describes a relaxed MgAl2As2H18O18 crystal. The functional is PBEsol.

Cell lengths 5.367, 6.945, 10.336 Å; angles 97.43, 102.08, 109.64 degrees
Sites, in units of the cell vectors:
Mg 0.500 0.000 0.500
Al 0.000 0.500 0.000
Al 0.000 0.000 0.000
As 0.481 0.075 0.833
As 0.519 0.925 0.167
H 0.919 0.309 0.174
H 0.081 0.691 0.826
H 0.031 0.010 0.623
H 0.969 0.990 0.377
H 0.843 0.505 0.226
H 0.157 0.495 0.774
H 0.554 0.586 0.758
H 0.446 0.414 0.242
H 0.692 0.401 0.445
H 0.308 0.599 0.555
H 0.812 0.406 0.602
H 0.188 0.594 0.398
H 0.395 0.345 0.680
H 0.605 0.655 0.320
H 0.811 0.946 0.708
H 0.189 0.054 0.292
H 0.679 0.673 0.016
H 0.321 0.327 0.984
O 0.872 0.717 0.010
O 0.128 0.283 0.990
O 0.690 0.935 0.846
O 0.310 0.065 0.154
O 0.624 0.317 0.940
O 0.376 0.683 0.060
O 0.190 0.934 0.874
O 0.810 0.066 0.126
O 0.387 0.102 0.671
O 0.613 0.898 0.329
O 0.986 0.469 0.187
O 0.014 0.531 0.813
O 0.381 0.488 0.693
O 0.619 0.512 0.307
O 0.830 0.959 0.615
O 0.170 0.041 0.385
O 0.737 0.315 0.511
O 0.263 0.685 0.489

Results
Uncorrected energy (eV per atom): -5.68
V (Å³/cell): 346
Magnetic moment (μB per atom): 0.00

No. 14
This record from Alexandria via LeMat-Bulk describes a relaxed AlMo2AsH crystal. The functional is PBEsol.

Cell lengths 3.409, 4.237, 4.237 Å; angles 90.00, 90.00, 90.00 degrees
Sites, in units of the cell vectors:
H 0.000 0.000 0.000
Mo 0.000 0.000 0.500
Mo 0.000 0.500 0.000
As 0.500 0.500 0.500
Al 0.500 0.000 0.000

Results
Uncorrected energy (eV per atom): -7.03
V (Å³/cell): 61
Magnetic moment (μB per atom): 0.00

No. 15
This record from Alexandria via LeMat-Bulk describes a relaxed HfAl2MoAs crystal. The functional is PBEsol.

Cell lengths 4.658, 5.118, 5.118 Å; angles 90.00, 90.00, 90.00 degrees
Sites, in units of the cell vectors:
Mo 0.500 0.000 0.000
Hf 0.000 0.000 0.000
As 0.500 0.500 0.500
Al 0.000 0.000 0.500
Al 0.000 0.500 0.000

Results
Uncorrected energy (eV per atom): -5.61
DFT formation energy (kJ per mole of atoms): 144.6
V (Å³/cell): 122
Magnetic moment (μB per atom): 0.18

No. 16
This record from Alexandria via LeMat-Bulk describes a relaxed Al2HgAs crystal. The functional is PBEsol.

Cell lengths 2.995, 4.997, 4.997 Å; angles 95.49, 90.00, 90.00 degrees
Sites, in units of the cell vectors:
As 0.500 0.000 0.000
Hg 0.500 0.500 0.500
Al 0.000 0.500 0.000
Al 0.000 0.000 0.500

Results
Uncorrected energy (eV per atom): -3.32
DFT formation energy (kJ per mole of atoms): 13.5
V (Å³/cell): 74
Magnetic moment (μB per atom): 0.00

No. 17
This record from Alexandria via LeMat-Bulk describes a relaxed AlHgAs2 crystal. The functional is PBEsol.

Cell lengths 3.123, 5.292, 5.292 Å; angles 112.80, 98.50, 98.50 degrees
Sites, in units of the cell vectors:
As 0.000 0.500 0.000
As 0.000 0.000 0.500
Hg 0.500 0.500 0.500
Al 0.500 0.000 0.000

Results
Uncorrected energy (eV per atom): -3.44
DFT formation energy (kJ per mole of atoms): 26.5
V (Å³/cell): 78
Distance to the lowest polymorph of the same formula (meV/atom): 237
Magnetic moment (μB per atom): 0.00

No. 18
This record from Alexandria via LeMat-Bulk describes a relaxed AlHgAs2 crystal. The functional is PBEsol.

Cell lengths 3.659, 4.588, 4.588 Å; angles 90.00, 90.00, 90.00 degrees
Sites, in units of the cell vectors:
As 0.000 0.000 0.500
As 0.000 0.500 0.000
Hg 0.500 0.500 0.500
Al 0.500 0.000 0.000

Results
Uncorrected energy (eV per atom): -3.43
DFT formation energy (kJ per mole of atoms): 27.8
V (Å³/cell): 77
Distance to the lowest polymorph of the same formula (meV/atom): 251
Magnetic moment (μB per atom): 0.00

No. 19
This record from Alexandria via LeMat-Bulk describes a relaxed AlHgAs2 crystal. The functional is PBEsol.

Cell lengths 3.713, 4.267, 5.655 Å; angles 111.12, 90.00, 90.00 degrees
Sites, in units of the cell vectors:
As 0.000 0.244 0.198
As 0.000 0.756 0.802
Hg 0.500 0.000 0.500
Al 0.500 0.500 0.000

Results
Uncorrected energy (eV per atom): -3.68
DFT formation energy (kJ per mole of atoms): 3.6
V (Å³/cell): 84
Distance to the lowest polymorph of the same formula (meV/atom): 0
Magnetic moment (μB per atom): 0.00

No. 20
This record from Alexandria via LeMat-Bulk describes a relaxed AlZn2HgAs crystal. The functional is PBEsol.

Cell lengths 4.834, 4.834, 5.326 Å; angles 90.00, 90.00, 90.00 degrees
Sites, in units of the cell vectors:
Zn 0.000 0.500 0.000
Zn 0.500 0.000 0.000
As 0.000 0.000 0.500
Hg 0.000 0.000 0.000
Al 0.500 0.500 0.500

Results
Uncorrected energy (eV per atom): -1.86
DFT formation energy (kJ per mole of atoms): 70.4
V (Å³/cell): 124
Magnetic moment (μB per atom): 0.00

No. 21
This record from Alexandria via LeMat-Bulk describes a relaxed AlAs3I crystal. The functional is PBEsol.

Cell lengths 5.296, 5.296, 5.296 Å; angles 90.00, 90.00, 90.00 degrees
Sites, in units of the cell vectors:
I 0.000 0.000 0.000
As 0.000 0.500 0.000
As 0.000 0.000 0.500
As 0.500 0.000 0.000
Al 0.500 0.500 0.500

Results
Uncorrected energy (eV per atom): -2.89
V (Å³/cell): 149
Magnetic moment (μB per atom): 0.00

No. 22
This record from Alexandria via LeMat-Bulk describes a relaxed Al3AsI crystal. The functional is PBEsol.

Cell lengths 5.314, 5.314, 5.314 Å; angles 90.00, 90.00, 90.00 degrees
Sites, in units of the cell vectors:
I 0.000 0.000 0.000
As 0.500 0.500 0.500
Al 0.000 0.500 0.000
Al 0.000 0.000 0.500
Al 0.500 0.000 0.000

Results
Uncorrected energy (eV per atom): -2.54
V (Å³/cell): 150
Magnetic moment (μB per atom): 0.00

No. 23
This record from Alexandria via LeMat-Bulk describes a relaxed Li2AlAsI crystal. The functional is PBEsol.

Cell lengths 4.728, 4.728, 6.155 Å; angles 90.00, 90.00, 90.00 degrees
Sites, in units of the cell vectors:
I 0.000 0.000 0.500
As 0.000 0.000 0.000
Al 0.500 0.500 0.500
Li 0.000 0.500 0.000
Li 0.500 0.000 0.000

Results
Uncorrected energy (eV per atom): -2.93
V (Å³/cell): 138
Magnetic moment (μB per atom): 0.00

No. 24
This record from Alexandria via LeMat-Bulk describes a relaxed AlAs2PdI crystal. The functional is PBEsol.

Cell lengths 5.130, 5.248, 5.248 Å; angles 90.00, 90.00, 90.00 degrees
Sites, in units of the cell vectors:
I 0.000 0.000 0.000
As 0.000 0.000 0.500
As 0.000 0.500 0.000
Al 0.500 0.000 0.000
Pd 0.500 0.500 0.500

Results
Uncorrected energy (eV per atom): -2.91
V (Å³/cell): 141
Magnetic moment (μB per atom): 0.00